No. 1
The following is a DFT calculation (PBE) of a geometry-optimized InAgTeS4 structure. Values from VASP.

Values from the calculation:
Raw total energy, eV/cell: -53.319
Space group: No. 74

Cell and atoms, written as Quantum ESPRESSO input:
```
&SYSTEM
  ibrav = 0, nat = 14, ntyp = 4
/
ATOMIC_SPECIES
S 32.06 S.upf
Ag 107.87 Ag.upf
In 114.82 In.upf
Te 127.60 Te.upf
ATOMIC_POSITIONS crystal
S 0.7587 0.7625 0.7201
S 0.2336 0.7581 0.2581
Ag 0.6355 0.6145 0.1145
S 0.7501 0.7581 0.2581
S 0.7587 0.2201 0.2625
S 0.2413 0.7799 0.7375
In 0.0000 0.0000 0.5000
In 0.5000 0.0000 0.5000
S 0.2499 0.2419 0.7419
Te 0.0000 0.5000 0.5000
Te 0.0000 0.0000 0.0000
S 0.7664 0.2419 0.7419
S 0.2413 0.2375 0.2799
Ag 0.3645 0.3855 0.8855
CELL_PARAMETERS angstrom
7.7573 0.0000 0.0000
3.8786 6.8152 0.1421
3.8786 2.2116 6.4479
```

=====

No. 2
The following is a DFT calculation (PBE) of a geometry-optimized TlIn2AgS4 structure. Values from VASP.

Values from the calculation:
Raw total energy, eV/cell: -30.413
Space group: No. 121

Cell and atoms, written as Quantum ESPRESSO input:
```
&SYSTEM
  ibrav = 0, nat = 8, ntyp = 4
/
ATOMIC_SPECIES
S 32.06 S.upf
In 114.82 In.upf
Tl 204.38 Tl.upf
Ag 107.87 Ag.upf
ATOMIC_POSITIONS crystal
S 0.4222 0.8634 0.2856
In 0.7500 0.2500 0.5001
Tl 0.9999 0.9999 0.9999
S 0.5778 0.5778 0.7146
In 0.2500 0.7500 0.5001
S 0.8634 0.4222 0.2856
Ag 0.5001 0.5001 0.0002
S 0.1368 0.1368 0.7146
CELL_PARAMETERS angstrom
5.7809 0.2404 0.0002
-0.2400 5.7809 0.0002
-2.7703 -3.0104 6.7614
```

=====

No. 3
The following is a DFT calculation (PBE) of a geometry-optimized Tl2In2AgS4 structure. Values from VASP.

Values from the calculation:
Raw total energy, eV/cell: -32.148
Space group: No. 12

Cell and atoms, written as Quantum ESPRESSO input:
```
&SYSTEM
  ibrav = 0, nat = 9, ntyp = 4
/
ATOMIC_SPECIES
S 32.06 S.upf
In 114.82 In.upf
Tl 204.38 Tl.upf
Ag 107.87 Ag.upf
ATOMIC_POSITIONS crystal
S 0.7531 0.5062 0.7546
S 0.2469 0.4938 0.2454
In 0.3237 0.6473 0.9627
S 0.4500 0.9000 0.2011
In 0.6763 0.3527 0.0373
Tl 0.1007 0.2014 0.4941
S 0.5500 0.1000 0.7989
Ag 0.0000 0.0000 0.0000
Tl 0.8993 0.7986 0.5059
CELL_PARAMETERS angstrom
3.9844 0.0000 0.0000
-1.9922 9.4690 0.7922
0.0000 -2.3679 6.0920
```

=====

No. 4
The following is a DFT calculation (PBE) of a geometry-optimized Y3InAg3S8 structure. Values from VASP.

Values from the calculation:
Raw total energy, eV/cell: -79.663
Space group: No. 12

Cell and atoms, written as Quantum ESPRESSO input:
```
&SYSTEM
  ibrav = 0, nat = 15, ntyp = 4
/
ATOMIC_SPECIES
Ag 107.87 Ag.upf
S 32.06 S.upf
Y 88.91 Y.upf
In 114.82 In.upf
ATOMIC_POSITIONS crystal
Ag 0.0000 0.0000 0.0000
S 0.7468 0.4935 0.7366
Y 0.5000 0.0000 0.5000
Y 0.0000 0.5000 0.5000
Ag 0.5000 0.5000 0.0000
S 0.2532 0.5065 0.2634
S 0.7582 0.9968 0.2588
S 0.2386 0.9968 0.2588
S 0.2418 0.0032 0.7412
S 0.7592 0.5183 0.2596
Ag 0.0000 0.5000 0.0000
In 0.0000 0.0000 0.5000
S 0.2408 0.4817 0.7404
Y 0.5000 0.5000 0.5000
S 0.7614 0.0032 0.7412
CELL_PARAMETERS angstrom
7.9462 0.0000 0.0000
-3.9731 6.8673 -0.0588
0.0000 -4.5914 6.2316
```

=====

No. 5
The following is a DFT calculation (PBE) of a geometry-optimized YInAg2S4 structure. Values from VASP.

Values from the calculation:
Raw total energy, eV/cell: -75.518
Space group: No. 74

Cell and atoms, written as Quantum ESPRESSO input:
```
&SYSTEM
  ibrav = 0, nat = 16, ntyp = 4
/
ATOMIC_SPECIES
S 32.06 S.upf
In 114.82 In.upf
Ag 107.87 Ag.upf
Y 88.91 Y.upf
ATOMIC_POSITIONS crystal
S 0.7647 0.2504 0.5075
S 0.7468 0.7530 0.9742
S 0.7505 0.2647 0.0075
In 0.0000 0.0000 0.0000
Ag 0.5000 0.0000 0.5000
S 0.2496 0.7353 0.9925
S 0.7470 0.7532 0.5258
S 0.2532 0.2470 0.0258
Ag 0.0000 0.0000 0.5000
In 0.5000 0.5000 0.5000
Y 0.0000 0.5000 0.5000
S 0.2353 0.7495 0.4925
Y 0.0000 0.5000 0.0000
Ag 0.5000 0.5000 0.0000
Ag 0.5000 0.0000 0.0000
S 0.2530 0.2468 0.4742
CELL_PARAMETERS angstrom
-2.9714 2.7935 6.6462
4.0538 -5.1501 4.2246
3.6573 4.8663 -5.3530
```

=====

No. 6
The following is a DFT calculation (PBE) of a geometry-optimized Y3InAg4S8 structure. Values from VASP.

Values from the calculation:
Raw total energy, eV/cell: -83.503
Space group: No. 12

Cell and atoms, written as Quantum ESPRESSO input:
```
&SYSTEM
  ibrav = 0, nat = 16, ntyp = 4
/
ATOMIC_SPECIES
S 32.06 S.upf
Ag 107.87 Ag.upf
Y 88.91 Y.upf
In 114.82 In.upf
ATOMIC_POSITIONS crystal
S 0.2026 0.3135 0.9192
S 0.2835 0.6865 0.0808
S 0.2114 0.3127 0.4229
Ag 0.0000 0.0000 0.0000
S 0.7156 0.3132 0.4312
Y 0.5000 0.5000 0.5000
In 0.0000 0.5000 0.0000
S 0.7886 0.6873 0.5771
Ag 0.5000 0.0000 0.0000
Y 0.5000 0.5000 0.0000
S 0.7165 0.3135 0.9192
Ag 0.0000 0.0000 0.5000
Ag 0.5000 0.0000 0.5000
Y 0.0000 0.5000 0.5000
S 0.2844 0.6868 0.5688
S 0.7974 0.6865 0.0808
CELL_PARAMETERS angstrom
8.0959 0.0000 0.0000
0.0000 11.8690 0.6834
-4.0479 -5.6927 4.1399
```

=====

No. 7
The following is a DFT calculation (PBE) of a geometry-optimized ZnInAg2S4 structure. Values from VASP.

Values from the calculation:
Raw total energy, eV/cell: -29.094
Space group: No. 82

Cell and atoms, written as Quantum ESPRESSO input:
```
&SYSTEM
  ibrav = 0, nat = 8, ntyp = 4
/
ATOMIC_SPECIES
S 32.06 S.upf
Ag 107.87 Ag.upf
Zn 65.41 Zn.upf
In 114.82 In.upf
ATOMIC_POSITIONS crystal
S 0.3776 0.8512 0.2328
Ag 0.4859 0.9860 0.9718
Zn 0.7358 0.7358 0.4718
Ag 0.2359 0.2358 0.4717
S 0.8553 0.3816 0.2329
S 0.0902 0.0942 0.7107
In 0.9859 0.4859 0.9717
S 0.6205 0.6165 0.7108
CELL_PARAMETERS angstrom
5.7969 0.0006 -0.0030
-0.0008 5.7971 -0.0028
-2.8949 -2.8961 5.5606
```

=====

No. 8
The following is a DFT calculation (PBE) of a geometry-optimized ZrInAgS4 structure. Values from VASP.

Values from the calculation:
Raw total energy, eV/cell: -73.335
Space group: No. 74

Cell and atoms, written as Quantum ESPRESSO input:
```
&SYSTEM
  ibrav = 0, nat = 14, ntyp = 4
/
ATOMIC_SPECIES
Ag 107.87 Ag.upf
Zr 91.22 Zr.upf
S 32.06 S.upf
In 114.82 In.upf
ATOMIC_POSITIONS crystal
Ag 0.6220 0.6280 0.1280
Ag 0.3780 0.3720 0.8720
Zr 0.0000 0.0000 0.5000
S 0.7505 0.7657 0.2657
In 0.0000 0.0000 0.0000
In 0.0000 0.5000 0.5000
S 0.2477 0.2320 0.2726
S 0.2477 0.7726 0.7320
Zr 0.5000 0.0000 0.5000
S 0.2495 0.2343 0.7343
S 0.7523 0.7680 0.7274
S 0.7818 0.2343 0.7343
S 0.2182 0.7657 0.2657
S 0.7523 0.2274 0.2680
CELL_PARAMETERS angstrom
7.5556 0.0000 0.0000
3.7778 6.7822 0.1979
3.7778 2.2547 6.3995
```

=====

Energy relative to the elements, uncorrected (computed, eV per atom): -0.203 -0.401 -0.286 -1.064 -0.793 -1.059 -0.359 -0.860
M_tot (computed, Bohr magnetons per cell): 0.0 0.0 0.0 0.0 0.0 0.0 0.0 0.0